Rb3C GGA-PBE relaxed; symmetry = Pnma; energy above the lowest structure with this stoichiometry = 30.6 meV per atom; final energy = -1.92 eV/atom; total magnetization = 1.7 μB per formula unit; calculated formation energy = 25.60 kcal/mol of atoms
1.0
7.589 0.000 0.000
0.000 8.279 0.000
0.000 0.000 13.397
C Rb
4 12
direct
0.928 0.378 0.750 C
0.572 0.878 0.750 C
0.072 0.622 0.250 C
0.428 0.122 0.250 C
0.777 0.642 0.896 Rb
0.282 0.593 0.750 Rb
0.277 0.858 0.104 Rb
0.723 0.142 0.604 Rb
0.277 0.858 0.396 Rb
0.223 0.358 0.104 Rb
0.777 0.642 0.604 Rb
0.218 0.093 0.750 Rb
0.782 0.907 0.250 Rb
0.223 0.358 0.396 Rb
0.718 0.407 0.250 Rb
0.723 0.142 0.896 Rb


SrLiGa4 GGA-PBE relaxed; symmetry = Immm; final energy = -2.98 eV/atom; total magnetization = 0.0 μB per formula unit; calculated formation energy = -8.26 kcal/mol of atoms
1.0
-1.875 -0.674 3.807
0.996 -5.454 1.950
3.774 0.823 4.429
Ga Sr Li
4 1 1
direct
0.661 0.147 0.031 Ga
0.339 0.853 0.969 Ga
0.661 0.532 0.647 Ga
0.339 0.468 0.353 Ga
0.000 0.000 0.500 Sr
0.000 0.500 0.000 Li


HfPd3Pt GGA-PBE relaxed; symmetry = Pm-3m; energy above the lowest structure with this stoichiometry = 1553.2 meV per atom; final energy = -5.42 eV/atom; total magnetization = 0.0 μB per formula unit; calculated formation energy = 20.53 kcal/mol of atoms
1.0
4.815 0.000 0.000
0.000 4.815 0.000
0.000 0.000 4.815
Pd Hf Pt
3 1 1
direct
0.500 0.000 0.000 Pd
0.000 0.500 0.000 Pd
0.000 0.000 0.500 Pd
0.500 0.500 0.500 Hf
0.000 0.000 0.000 Pt


CsHg2As2 GGA-PBE relaxed; symmetry = P4/mbm; energy above the lowest structure with this stoichiometry = 293.9 meV per atom; final energy = -1.99 eV/atom; total magnetization = 0.0 μB per formula unit; calculated formation energy = 3.67 kcal/mol of atoms
1.0
9.037 0.000 0.000
0.000 9.037 0.000
0.000 0.000 3.363
Hg As Cs
4 4 2
direct
0.646 0.854 0.500 Hg
0.354 0.146 0.500 Hg
0.146 0.646 0.500 Hg
0.854 0.354 0.500 Hg
0.360 0.860 0.000 As
0.640 0.140 0.000 As
0.860 0.640 0.000 As
0.140 0.360 0.000 As
0.500 0.500 0.000 Cs
0.000 0.000 0.000 Cs


La2YTh GGA-PBE relaxed; symmetry = C2/m; energy above the lowest structure with this stoichiometry = 0.0 meV per atom; final energy = -5.91 eV/atom; total magnetization = 0.0 μB per formula unit; calculated formation energy = 0.57 kcal/mol of atoms
1.0
3.472 0.904 0.450
1.452 6.816 4.073
0.692 4.322 14.907
Th La Y
2 4 2
direct
0.000 0.500 0.500 Th
0.500 0.000 0.500 Th
0.130 0.109 0.261 La
0.767 0.234 0.000 La
0.870 0.891 0.739 La
0.233 0.766 0.000 La
0.635 0.596 0.269 Y
0.365 0.404 0.731 Y


AcCuIrO6 GGA-PBE relaxed; symmetry = P-31c; final energy = -6.37 eV/atom; ΔE_f (raw) = -112.42 kJ per mole of atoms; total magnetization = 0.0 μB per formula unit
1.0
5.821 0.000 0.000
-2.911 5.041 0.000
0.000 0.000 7.825
Cu Ac O Ir
2 2 12 2
direct
0.000 0.000 0.000 Cu
0.000 0.000 0.500 Cu
0.333 0.667 0.250 Ac
0.667 0.333 0.750 Ac
0.618 0.926 0.890 O
0.074 0.382 0.610 O
0.382 0.074 0.110 O
0.691 0.074 0.390 O
0.926 0.618 0.390 O
0.691 0.618 0.110 O
0.926 0.309 0.110 O
0.618 0.691 0.610 O
0.309 0.382 0.890 O
0.074 0.691 0.890 O
0.382 0.309 0.390 O
0.309 0.926 0.610 O
0.667 0.333 0.250 Ir
0.333 0.667 0.750 Ir


- Which value of total magnetization does entry 1 give?
  1.7 μB per formula unit